Record 1
{
  "formula": "TaFe2W2",
  "functional": "GGA-PBE",
  "state": "optimized geometry",
  "lattice": [[3.7756, 0.0000, 0.0000], [0.0000, 3.7756, 0.0000], [0.0000, 0.0000, 11.0505]],
  "species": ["Ta", "Ta", "Fe", "Fe", "Fe", "Fe", "W", "W", "W", "W"],
  "frac_coords": [[0.0000, 0.0000, 0.0000], [0.5000, 0.5000, 0.5000], [0.0000, 0.5000, 0.2500], [0.0000, 0.5000, 0.7500], [0.5000, 0.0000, 0.2500], [0.5000, 0.0000, 0.7500], [0.0000, 0.0000, 0.3823], [0.0000, 0.0000, 0.6177], [0.5000, 0.5000, 0.1177], [0.5000, 0.5000, 0.8823]],
  "e_above_lowest_polymorph_mev_per_atom": 453.4,
  "sg": "I4/mmm, No. 139",
  "magmom_total_mub_per_fu": 0.0,
  "volume_a3_per_atom": 15.8,
  "formation_enthalpy_0k_ev_per_atom": 0.605
}



Record 2
{
  "formula": "TlInOs",
  "functional": "GGA-PBE",
  "state": "optimized geometry",
  "lattice": [[3.1530, 0.0000, 0.0000], [0.0000, 5.0023, 0.0000], [0.0000, 0.0000, 16.9955]],
  "species": ["Tl", "Tl", "Tl", "Tl", "In", "In", "In", "In", "Os", "Os", "Os", "Os"],
  "frac_coords": [[0.0000, 0.0000, 0.0000], [0.0000, 0.5000, 0.5000], [0.5000, 0.0000, 0.5000], [0.5000, 0.5000, 0.0000], [0.0000, 0.0000, 0.7136], [0.0000, 0.5000, 0.2136], [0.5000, 0.0000, 0.2136], [0.5000, 0.5000, 0.7136], [0.0000, 0.0000, 0.3515], [0.0000, 0.5000, 0.8515], [0.5000, 0.0000, 0.8515], [0.5000, 0.5000, 0.3515]],
  "e_above_lowest_polymorph_mev_per_atom": 151.1,
  "sg": "Fmm2, No. 42",
  "magmom_total_mub_per_fu": 0.4,
  "volume_a3_per_atom": 22.3,
  "formation_enthalpy_0k_ev_per_atom": 0.818
}



Record 3
{
  "formula": "ZnTcRh2",
  "functional": "GGA-PBE",
  "state": "optimized geometry",
  "lattice": [[2.7497, 0.0000, 0.0000], [-1.3748, 2.3813, 0.0000], [0.0000, 0.0000, 26.2571]],
  "species": ["Zn", "Zn", "Zn", "Tc", "Tc", "Tc", "Rh", "Rh", "Rh", "Rh", "Rh", "Rh"],
  "frac_coords": [[0.0000, 0.0000, 0.0000], [0.3333, 0.6667, 0.6667], [0.6667, 0.3333, 0.3333], [0.0000, 0.0000, 0.7530], [0.3333, 0.6667, 0.4196], [0.6667, 0.3333, 0.0863], [0.0000, 0.0000, 0.2526], [0.0000, 0.0000, 0.4986], [0.3333, 0.6667, 0.1653], [0.3333, 0.6667, 0.9192], [0.6667, 0.3333, 0.5859], [0.6667, 0.3333, 0.8320]],
  "sg": "R3m, No. 160",
  "magmom_total_mub_per_fu": 0.6,
  "volume_a3_per_atom": 14.3,
  "formation_enthalpy_0k_ev_per_atom": -0.040
}



Record 4
{
  "formula": "Na2AsH2",
  "functional": "GGA-PBE",
  "state": "optimized geometry",
  "lattice": [[6.7467, 0.0000, 0.0000], [0.0000, 6.7467, 0.0000], [0.0000, 0.0000, 3.1649]],
  "species": ["Na", "Na", "Na", "Na", "As", "As", "H", "H", "H", "H"],
  "frac_coords": [[0.1584, 0.3416, 0.0000], [0.3416, 0.8416, 0.0000], [0.6584, 0.1584, 0.0000], [0.8416, 0.6584, 0.0000], [0.0000, 0.0000, 0.5000], [0.5000, 0.5000, 0.5000], [0.1537, 0.6537, 0.5000], [0.3463, 0.1537, 0.5000], [0.6537, 0.8463, 0.5000], [0.8463, 0.3463, 0.5000]],
  "e_above_lowest_polymorph_mev_per_atom": 192.0,
  "sg": "P4/mbm, No. 127",
  "magmom_total_mub_per_fu": 0.0,
  "volume_a3_per_atom": 14.4
}



Record 5
{
  "formula": "Hg2PtAu",
  "functional": "GGA-PBE",
  "state": "optimized geometry",
  "lattice": [[4.3563, 0.0000, 0.0000], [-2.1782, 3.7727, 0.0000], [0.0000, 0.0000, 16.2166]],
  "species": ["Hg", "Hg", "Hg", "Hg", "Hg", "Hg", "Pt", "Pt", "Pt", "Au", "Au", "Au"],
  "frac_coords": [[0.0000, 0.0000, 0.0000], [0.0000, 0.0000, 0.1887], [0.3333, 0.6667, 0.6667], [0.3333, 0.6667, 0.8553], [0.6667, 0.3333, 0.3333], [0.6667, 0.3333, 0.5220], [0.0000, 0.0000, 0.5960], [0.3333, 0.6667, 0.2627], [0.6667, 0.3333, 0.9293], [0.0000, 0.0000, 0.4225], [0.3333, 0.6667, 0.0892], [0.6667, 0.3333, 0.7559]],
  "e_above_lowest_polymorph_mev_per_atom": 105.8,
  "sg": "R3m, No. 160",
  "magmom_total_mub_per_fu": 0.0,
  "volume_a3_per_atom": 22.2,
  "formation_enthalpy_0k_ev_per_atom": 0.147
}



Record 6
{
  "formula": "KPb",
  "functional": "GGA-PBE",
  "state": "optimized geometry",
  "lattice": [[3.7445, 0.0000, 0.0000], [0.0000, 5.8264, 0.0000], [0.0000, 0.0000, 6.7301]],
  "species": ["K", "K", "Pb", "Pb"],
  "frac_coords": [[0.2500, 0.2500, 0.1136], [0.7500, 0.7500, 0.8864], [0.2500, 0.7500, 0.4111], [0.7500, 0.2500, 0.5889]],
  "e_above_lowest_polymorph_mev_per_atom": 239.9,
  "sg": "Pmmn, No. 59",
  "magmom_total_mub_per_fu": 0.0,
  "volume_a3_per_atom": 36.7,
  "formation_enthalpy_0k_ev_per_atom": -0.001
}



Record 7
{
  "formula": "Na2CuAg3Br6",
  "functional": "GGA-PBE",
  "state": "optimized geometry",
  "lattice": [[8.9660, -2.0503, 0.0000], [8.9660, 2.0503, 0.0000], [-1.8338, 0.0000, 8.1353]],
  "species": ["Na", "Na", "Cu", "Ag", "Ag", "Ag", "Br", "Br", "Br", "Br", "Br", "Br"],
  "frac_coords": [[0.1633, 0.1633, 0.3248], [0.8367, 0.8367, 0.6752], [0.5000, 0.5000, 0.0000], [0.1702, 0.1702, 0.8349], [0.5000, 0.5000, 0.5000], [0.8298, 0.8298, 0.1651], [0.0047, 0.0047, 0.7866], [0.3341, 0.3341, 0.9212], [0.3417, 0.3417, 0.4213], [0.6583, 0.6583, 0.5787], [0.6659, 0.6659, 0.0788], [0.9953, 0.9953, 0.2134]],
  "sg": "C2/m, No. 12",
  "magmom_total_mub_per_fu": 0.0,
  "volume_a3_per_atom": 24.9,
  "formation_energy_uncorrected_ev_per_fu": -8.0
}



Record 8
{
  "formula": "TmZrAg",
  "functional": "GGA-PBE",
  "state": "optimized geometry",
  "lattice": [[3.3117, 0.0000, 0.0000], [-1.6559, 2.8680, 0.0000], [0.0000, 0.0000, 14.8895]],
  "species": ["Tm", "Tm", "Zr", "Zr", "Ag", "Ag"],
  "frac_coords": [[0.0000, 0.0000, 0.2358], [0.0000, 0.0000, 0.7642], [0.3333, 0.6667, 0.4134], [0.6667, 0.3333, 0.5866], [0.3333, 0.6667, 0.9261], [0.6667, 0.3333, 0.0739]],
  "e_above_lowest_polymorph_mev_per_atom": 129.3,
  "sg": "P-3m1, No. 164",
  "magmom_total_mub_per_fu": 0.0,
  "volume_a3_per_atom": 23.6,
  "formation_enthalpy_0k_ev_per_atom": 0.029
}